No. 1
! PBE-GGA H5Pd4Pb2, optimized geometry; values from VASP
! Space group: No. 1
! VASP energy, eV/cell: -45.51
! Crystal system: triclinic
&SYSTEM
  ibrav = 0, nat = 11, ntyp = 3
/
ATOMIC_SPECIES
H 1.01 H.upf
Pd 106.42 Pd.upf
Pb 207.20 Pb.upf
CELL_PARAMETERS angstrom
4.585 0.000 0.000
-1.265 4.596 0.000
-1.740 -0.507 6.667
ATOMIC_POSITIONS crystal
H 0.000 0.000 0.000
H 0.101 0.103 0.370
H 0.264 0.585 0.710
H 0.496 0.993 0.982
H 0.676 0.476 0.989
Pd 0.067 0.817 0.527
Pd 0.274 0.243 0.897
Pd 0.653 0.787 0.826
Pd 0.838 0.219 0.183
Pb 0.406 0.663 0.248
Pb 0.704 0.261 0.593

No. 2
! PBE-GGA Tb5Dy4Sc2, optimized geometry; values from VASP
! Space group: No. 71
! VASP energy, eV/cell: -51.35
! Polymorph energy (0 for the lowest one), eV per formula unit: 1.78
! Crystal system: orthorhombic
&SYSTEM
  ibrav = 0, nat = 11, ntyp = 3
/
ATOMIC_SPECIES
Tb 158.93 Tb.upf
Dy 162.50 Dy.upf
Sc 44.96 Sc.upf
CELL_PARAMETERS angstrom
-1.723 4.530 11.245
1.723 -4.530 11.245
1.723 4.530 -11.245
ATOMIC_POSITIONS crystal
Tb 0.000 0.000 0.000
Tb 0.052 0.348 0.704
Tb 0.356 0.652 0.704
Tb 0.644 0.348 0.296
Tb 0.948 0.652 0.296
Dy 0.307 0.500 0.807
Dy 0.401 0.901 0.500
Dy 0.599 0.099 0.500
Dy 0.693 0.500 0.193
Sc 0.270 0.770 0.500
Sc 0.730 0.230 0.500

No. 3
! PBE-GGA AgAuS3, optimized geometry; values from VASP
! Space group: No. 221
! VASP energy, eV/cell: -14.43
! Energy relative to the elements, uncorrected, eV per atom: 0.816
! Polymorph energy (0 for the lowest one), eV per formula unit: 3.85
! Crystal system: cubic
&SYSTEM
  ibrav = 0, nat = 5, ntyp = 3
/
ATOMIC_SPECIES
Ag 107.87 Ag.upf
Au 196.97 Au.upf
S 32.06 S.upf
CELL_PARAMETERS angstrom
4.870 0.000 0.000
0.000 4.870 0.000
0.000 0.000 4.870
ATOMIC_POSITIONS crystal
Ag 0.000 0.000 0.000
Au 0.500 0.500 0.500
S 0.000 0.500 0.500
S 0.500 0.000 0.500
S 0.500 0.500 0.000

No. 4
! PBE-GGA Cd2P, optimized geometry; values from VASP
! Space group: No. 62
! VASP energy, eV/cell: -27.88
! Polymorph energy (0 for the lowest one), eV per formula unit: 0.00
! Crystal system: orthorhombic
&SYSTEM
  ibrav = 0, nat = 12, ntyp = 2
/
ATOMIC_SPECIES
Cd 112.41 Cd.upf
P 30.97 P.upf
CELL_PARAMETERS angstrom
9.123 0.000 0.000
0.000 4.194 0.000
0.000 0.000 7.121
ATOMIC_POSITIONS crystal
Cd 0.004 0.250 0.172
Cd 0.146 0.750 0.468
Cd 0.354 0.250 0.968
Cd 0.496 0.750 0.672
Cd 0.504 0.250 0.328
Cd 0.646 0.750 0.032
Cd 0.854 0.250 0.532
Cd 0.996 0.750 0.828
P 0.195 0.750 0.103
P 0.305 0.250 0.603
P 0.695 0.750 0.397
P 0.805 0.250 0.897

For reference, total magnetic moment by record: 0.00, 0.00, 0.00, 0.00 μB/f.u..